No. 1
# Nd12Er2Mg

Nd12Er2Mg after structural relaxation (PBE, Alexandria).

Cell: 6.859 6.859 24.854 Å, 90.00 90.00 116.67°
Sites, in units of the cell vectors:
Nd1 0.000 0.000 0.074
Nd2 0.000 0.000 0.926
Nd3 0.001 0.501 0.872
Nd4 0.019 0.519 0.413
Nd5 0.024 0.976 0.561
Nd6 0.250 0.250 0.197
Nd7 0.250 0.250 0.323
Nd8 0.250 0.250 0.677
Nd9 0.250 0.250 0.803
Nd10 0.476 0.524 0.561
Nd11 0.481 0.981 0.413
Nd12 0.499 0.999 0.872
Nd13 0.500 0.500 0.074
Nd14 0.500 0.500 0.926
Nd15 0.501 0.001 0.128
Nd16 0.519 0.019 0.587
Nd17 0.524 0.476 0.439
Nd18 0.750 0.750 0.197
Nd19 0.750 0.750 0.323
Nd20 0.750 0.750 0.677
Nd21 0.750 0.750 0.803
Nd22 0.976 0.024 0.439
Nd23 0.981 0.481 0.587
Nd24 0.999 0.499 0.128
Er1 0.250 0.750 0.265
Er2 0.250 0.750 0.732
Er3 0.750 0.250 0.268
Er4 0.750 0.250 0.735
Mg1 0.250 0.750 0.000
Mg2 0.750 0.250 0.000

Values from the calculation:
Density of states at the Fermi level: 41.28 states/eV per cell
Formation energy: 0.1468 eV per atom
V: 34.8 Å³/atom
ρ: 6.64 g cm⁻³
Final energy: -0.322 Ry/atom

***

No. 2
# Nd4ErMg3

Nd4ErMg3 after structural relaxation (PBE, Alexandria).

Cell: 3.854 5.599 11.257 Å, 90.00 90.00 90.00°
Sites, in units of the cell vectors:
Nd1 0.000 0.000 0.000
Nd2 0.000 0.000 0.500
Nd3 0.000 0.500 0.241
Nd4 0.000 0.500 0.759
Er1 0.500 0.500 0.500
Mg1 0.500 0.000 0.250
Mg2 0.500 0.000 0.750
Mg3 0.500 0.500 0.000

Values from the calculation:
Density of states at the Fermi level: 10.17 states/eV per cell
Formation energy: -0.0442 eV per atom
V: 30.4 Å³/atom
ρ: 5.59 g cm⁻³
Final energy: -0.264 Ry/atom

***

No. 3
# NdEr3Mg2

NdEr3Mg2 after structural relaxation (PBE, Alexandria).

Cell: 3.634 3.634 13.116 Å, 90.00 90.00 90.00°
Sites, in units of the cell vectors:
Nd1 0.000 0.000 0.000
Er1 0.500 0.500 0.192
Er2 0.500 0.500 0.500
Er3 0.500 0.500 0.808
Mg1 0.000 0.000 0.348
Mg2 0.000 0.000 0.652

Values from the calculation:
Density of states at the Fermi level: 7.47 states/eV per cell
Formation energy: -0.0365 eV per atom
V: 28.9 Å³/atom
ρ: 6.66 g cm⁻³
Final energy: -0.268 Ry/atom

***

> The highest density of states at the Fermi level belongs to which entry?

Nd12Er2Mg